# InS2Br

A crystal of InS2Br relaxed with PBEsol (meta-GGA SCAN, Alexandria).

a b c (Å): 6.505 6.505 6.505
angles (deg): 115.79 115.79 97.46
Positions (direct):
In (0.000, 0.000, 0.000)
In (0.750, 0.250, 0.500)
S (0.082, 0.125, 0.457)
S (0.375, 0.918, 0.043)
S (0.668, 0.625, 0.543)
S (0.875, 0.332, 0.957)
Br (0.250, 0.750, 0.500)
Br (0.500, 0.500, 0.000)

final energy	-71.68	eV/f.u.
volume	25.6	Å³/atom